Here is a geometry-optimized BaCrNi structure from Alexandria. Energies are from GGA-PBE.

Computed properties:
Symmetry: No. 62
Volume in Å³ per cell: 320
Total magnetization in μB per atom: 1.508
Energy above the lowest structure with this stoichiometry in kcal/mol of atoms: 4.465
N(E_F) in states/eV/atom: 0.915

Lattice parameters (Å, degrees): 6.0013 4.2580 12.5377 90.00 90.00 90.00
Closest atoms and distances in Å follow each position.
Sites, in units of the cell vectors:
Ni1 0.9026 0.2500 0.0320  3 Cr 2.48-2.49, 2 Ni 2.56
Ni2 0.4026 0.2500 0.4680  3 Cr 2.48-2.49, 2 Ni 2.56
Ni3 0.5974 0.7500 0.5320  3 Cr 2.48-2.49, 2 Ni 2.56
Ni4 0.0974 0.7500 0.9680  3 Cr 2.48-2.49, 2 Ni 2.56
Cr1 0.8709 0.7500 0.1333  3 Ni 2.48-2.49
Cr2 0.3709 0.7500 0.3667  3 Ni 2.48-2.49
Cr3 0.1291 0.2500 0.8667  3 Ni 2.48-2.49
Cr4 0.6291 0.2500 0.6333  3 Ni 2.48-2.49
Ba1 0.3754 0.2500 0.1323  4 Ni 3.10-3.40
Ba2 0.8754 0.2500 0.3677  4 Ni 3.10-3.40
Ba3 0.1246 0.7500 0.6323  4 Ni 3.10-3.40
Ba4 0.6246 0.7500 0.8677  4 Ni 3.10-3.40